The following is a DFT calculation (GGA-PBE) of KMgRh2 after structural relaxation.

Properties
Its magnetization is 0.000 Bohr magnetons per cell. As for the space group: Cm. The value obtained for the density of states at the Fermi level is 3.68 states/eV/cell. As for the total DFT energy (no corrections): -4.137 eV per atom.

a = 4.581 Å, b = 4.581 Å, c = 7.508 Å
α = 85.02°, β = 85.02°, γ = 37.22°
Fractional coordinates of all 4 atoms:
Rh 0.736 0.736 0.858
K 0.492 0.492 0.539
Rh 0.000 0.000 0.956
Mg 0.272 0.272 0.147